An optimized crystal structure of SiGePO2. Source: Alexandria, functional PBE.

Cell: 3.4896 3.4896 5.0534 Å, 90.00 90.00 90.00°
Closest atoms and distances in Å follow each position.
Fractional positions:
Si 0.0000 0.0000 0.0000  4 O 1.74
Ge 0.5000 0.5000 0.5000  4 P 2.47
P 0.0000 0.0000 0.5000  4 Ge 2.47, 2 Si 2.53
O 0.0000 0.5000 0.0000  2 Si 1.74
O 0.5000 0.0000 0.0000  2 Si 1.74

- E (eV per atom) = -5.977
- SG = P4/mmm (123)
- uncorrected formation energy (eV per atom) = -0.904